ZnSn2Pd5: optimized geometry, PBE.

Output
Total energy = -147.4 eV for the cell shown

abc: 2.9460 15.5073 13.6510
angles: 90.00 90.00 90.00
Space group Cmcm (No. 63)
Symmetry-distinct sites (fractional):
Zn 0.0000 0.1370 0.2500 [4 per cell]
Sn 0.0000 0.1240 0.5829 [8 per cell]
Pd 0.0000 0.0451 0.0957 [8 per cell]
Pd 0.0000 0.2184 0.7500 [4 per cell]
Pd 0.0000 0.2243 0.0850 [8 per cell]


Zr2Sn4Pd: optimized geometry, PBE.

Output
Total energy = -80.7 eV for the cell shown

abc: 18.1332 3.3078 5.7806
angles: 90.00 107.77 90.00
Space group C2/m (No. 12)
Symmetry-distinct sites (fractional):
Zr 0.2489 0.0000 0.2509 [4 per cell]
Sn 0.1076 0.0000 0.7985 [4 per cell]
Sn 0.1100 0.5000 0.2784 [4 per cell]
Pd 0.0000 0.5000 0.5000 [2 per cell]


Zr2SnPd7: optimized geometry, PBE.

Output
Total energy = -116.4 eV for the cell shown

abc: 7.2214 13.8130 4.3104
angles: 90.00 90.00 90.00
Space group Cmmm (No. 65)
Symmetry-distinct sites (fractional):
Zr 0.0000 0.1983 0.0000 [4 per cell]
Sn 0.0000 0.5000 0.5000 [2 per cell]
Pd 0.0000 0.0000 0.0000 [2 per cell]
Pd 0.0000 0.3046 0.5000 [4 per cell]
Pd 0.1852 0.3957 0.0000 [8 per cell]


Zr2SnPd2: optimized geometry, PBE.

Output
Total energy = -66.0 eV for the cell shown

abc: 4.5218 4.5218 10.9136
angles: 90.00 90.00 90.00
Space group I4/mmm (No. 139)
Symmetry-distinct sites (fractional):
Zr 0.0000 0.5000 0.2500 [4 per cell]
Sn 0.0000 0.0000 0.0000 [2 per cell]
Pd 0.0000 0.0000 0.3840 [4 per cell]


ZrSn2Pd7: optimized geometry, PBE.

Output
Total energy = -117.3 eV for the cell shown

abc: 4.0493 4.0493 22.4756
angles: 90.00 90.00 90.00
Space group I4/mmm (No. 139)
Symmetry-distinct sites (fractional):
Zr 0.0000 0.0000 0.0000 [2 per cell]
Sn 0.0000 0.0000 0.3302 [4 per cell]
Pd 0.0000 0.0000 0.5000 [2 per cell]
Pd 0.0000 0.5000 0.0887 [8 per cell]
Pd 0.0000 0.5000 0.2500 [4 per cell]


ZrSn3Pd: optimized geometry, PBE.

Output
Total energy = -22.5 eV for the cell shown

abc: 5.4919 5.4919 5.4919
angles: 90.00 90.00 90.00
Space group Pm-3m (No. 221)
Symmetry-distinct sites (fractional):
Zr 0.0000 0.0000 0.0000 [1 per cell]
Sn 0.0000 0.0000 0.5000 [3 per cell]
Pd 0.5000 0.5000 0.5000 [1 per cell]


Number 1: Fermi-level density of states 15.0 states/eV/cell, formation energy from the elements -0.20 eV/atom, total moment 0.00 μB/f.u.. Number 2: Fermi-level density of states 6.9 states/eV/cell, formation energy from the elements -0.30 eV/atom, total moment 0.00 μB/f.u.. Number 3: Fermi-level density of states 13.3 states/eV/cell, formation energy from the elements -0.08 eV/atom, total moment 0.00 μB/f.u.. Number 4: Fermi-level density of states 6.6 states/eV/cell, formation energy from the elements -0.30 eV/atom, total moment 0.00 μB/f.u.. Number 5: Fermi-level density of states 7.3 states/eV/cell, formation energy from the elements -0.58 eV/atom, total moment 0.00 μB/f.u.. Number 6: Fermi-level density of states 4.2 states/eV/cell, formation energy from the elements 0.64 eV/atom, total moment 0.00 μB/f.u..